Entry 1:
A relaxed NdSm4Tm5 crystal, computed with PBE.

Properties
E_tot	-43.1	eV/cell

a b c (Å): 6.2439 7.9083 7.9083
angles (deg): 81.03 66.75 66.75
Element x y z (fractional)
Nd1 0.2218 0.0000 0.0000
Sm1 0.4034 0.3999 0.6994
Sm2 0.1028 0.3006 0.3999
Sm3 0.8033 0.6994 0.6001
Sm4 0.5027 0.6001 0.3006
Tm1 0.1794 0.9162 0.6211
Tm2 0.8005 0.3789 0.9162
Tm3 0.0957 0.6211 0.0838
Tm4 0.7168 0.0838 0.3789
Tm5 0.6838 0.0000 0.0000

***

Entry 2:
A relaxed LaZrCd2 crystal, computed with PBE.

Properties
E_tot	-15.6	eV/cell

a b c (Å): 4.8458 3.3706 6.5175
angles (deg): 75.05 90.00 90.00
Each line ends with the local moment (μB).
Element x y z (fractional)
Cd1 0.0000 0.1983 0.9797  0.00
Cd2 0.5000 0.0644 0.2451  0.00
Zr1 0.5000 0.7853 0.8046  0.06
La1 0.0000 0.4520 0.4706  0.01

***

Entry 3:
A relaxed Y2CrCdBr crystal, computed with PBE.

Properties
E_tot	-23.8	eV/cell
energy relative to the elements, uncorrected	1.365	eV per formula unit

a b c (Å): 5.4121 4.3528 5.4121
angles (deg): 90.00 90.00 90.00
Element x y z (fractional)
Y1 0.5000 0.0000 0.0000
Y2 0.0000 0.0000 0.5000
Cd1 0.5000 0.5000 0.5000
Br1 0.0000 0.0000 0.0000
Cr1 0.0000 0.5000 0.0000

***

Entry 4:
A relaxed YAgOs crystal, computed with PBE.

Properties
E_tot	-19.7	eV/cell

a b c (Å): 5.4060 5.4060 3.5114
angles (deg): 71.05 71.05 37.90
Element x y z (fractional)
Os1 0.6606 0.6606 0.3394
Ag1 0.0146 0.0146 0.9854
Y1 0.3249 0.3249 0.6751

***

Entry 5:
A relaxed SnAsHOsBr crystal, computed with PBE.

Properties
E_tot	-47.9	eV/cell

a b c (Å): 5.1438 3.6645 12.1507
angles (deg): 90.00 108.71 90.00
Element x y z (fractional)
As1 0.3294 0.0000 0.7075
As2 0.3294 0.5000 0.2075
Br1 0.7456 0.0000 0.0190
Br2 0.7456 0.5000 0.5190
H1 0.7736 0.0000 0.2641
H2 0.7736 0.5000 0.7641
Sn1 0.2377 0.5000 0.9583
Sn2 0.2377 0.0000 0.4583
Os1 0.0650 0.0000 0.2359
Os2 0.0650 0.5000 0.7359

***

Entry 6:
A relaxed Tl2Hg crystal, computed with PBE.

Properties
E_tot	-9.9	eV/cell

a b c (Å): 6.3229 6.3229 6.3229
angles (deg): 102.18 102.18 125.30
Element x y z (fractional)
Tl1 0.3500 0.1500 0.5000
Tl2 0.1500 0.6500 0.8000
Tl3 0.8500 0.3500 0.2000
Tl4 0.6500 0.8500 0.5000
Hg1 0.2500 0.2500 0.0000
Hg2 0.7500 0.7500 0.0000

***

Entry 7:
A relaxed ThMgGePd crystal, computed with PBE.

Properties
E_tot	-21.2	eV/cell

a b c (Å): 4.9545 4.9545 4.9545
angles (deg): 60.00 60.00 60.00
Element x y z (fractional)
Mg1 0.0000 0.0000 0.0000
Ge1 0.2500 0.2500 0.2500
Pd1 0.7500 0.7500 0.7500
Th1 0.5000 0.5000 0.5000

***

Entry 8:
A relaxed SmHo5Sc4 crystal, computed with PBE.

Properties
E_tot	-49.6	eV/cell

a b c (Å): 6.1542 7.5787 7.5787
angles (deg): 80.51 66.05 66.05
Element x y z (fractional)
Sm1 0.2234 0.0000 0.0000
Ho1 0.7053 0.0982 0.3912
Ho2 0.0966 0.6088 0.0982
Ho3 0.6786 0.0000 0.0000
Ho4 0.8035 0.3912 0.9018
Ho5 0.1948 0.9018 0.6088
Sc1 0.3956 0.4143 0.6986
Sc2 0.8099 0.6986 0.5857
Sc3 0.5085 0.5857 0.3014
Sc4 0.0942 0.3014 0.4143

***

Entry 9:
A relaxed Mg2TcAg crystal, computed with PBE.

Properties
E_tot	-16.0	eV/cell

a b c (Å): 2.8177 2.8177 8.6259
angles (deg): 90.00 90.00 90.00
Each line ends with the local moment (μB).
Element x y z (fractional)
Mg1 0.0000 0.0000 0.0068  0.00
Mg2 0.0000 0.0000 0.4932  0.00
Ag1 0.5000 0.5000 0.7500  0.00
Tc1 0.5000 0.5000 0.2500  0.36

***

Entry 10:
A relaxed PuTi2Tl crystal, computed with PBE.

Properties
E_tot	-32.1	eV/cell

a b c (Å): 3.2207 4.9547 4.9547
angles (deg): 90.00 90.00 90.00
Each line ends with the local moment (μB).
Element x y z (fractional)
Ti1 0.0000 0.0000 0.5000  0.11
Ti2 0.0000 0.5000 0.0000  0.11
Pu1 0.5000 0.5000 0.5000  5.02
Tl1 0.5000 0.0000 0.0000  -0.03

***

Entry 11:
A relaxed FeAg2 crystal, computed with PBE.

Properties
E_tot	-25.8	eV/cell

a b c (Å): 5.1796 5.1796 5.1796
angles (deg): 101.69 101.69 126.50
Each line ends with the local moment (μB).
Element x y z (fractional)
Fe1 0.7500 0.7500 0.0000  2.71
Fe2 0.2500 0.2500 0.0000  2.71
Ag1 0.8469 0.6531 0.5000  0.02
Ag2 0.3469 0.8469 0.1939  0.02
Ag3 0.1531 0.3469 0.5000  0.02
Ag4 0.6531 0.1531 0.8061  0.02

***

Entry 12:
A relaxed ZrFeSe2 crystal, computed with PBE.

Properties
E_tot	-26.6	eV/cell
energy relative to the elements, uncorrected	-2.623	eV per formula unit

a b c (Å): 6.4999 6.4999 6.4999
angles (deg): 148.61 148.19 45.30
Each line ends with the local moment (μB).
Element x y z (fractional)
Se1 0.7814 0.2814 0.5000  0.08
Se2 0.0457 0.0457 0.0000  0.04
Fe1 0.2225 0.7225 0.5000  2.88
Zr1 0.4504 0.4504 0.0000  -0.14